1.
Below is LiMnTe2N at its PBEsol-relaxed geometry, with properties calculated at the SCAN level.

Unit cell a=5.336 b=5.336 c=3.409 alpha=90.00 beta=90.00 gamma=90.00
Space group P4/mmm (No. 123)
Symmetry-distinct sites (fractional):
Li  0.000  0.000  0.000 [1 per cell]
Mn  0.500  0.500  0.500 [1 per cell]
Te  0.000  0.500  0.500 [2 per cell]
N  0.500  0.500  0.000 [1 per cell]

- Density: 5.7 g cm⁻³
- Formation energy without anion corrections: -195 meV per atom

2.
Below is ZrIrAu2 at its PBEsol-relaxed geometry, with properties calculated at the SCAN level.

Unit cell a=5.463 b=8.019 c=3.110 alpha=90.00 beta=90.00 gamma=90.00
Space group Cmmm (No. 65)
Symmetry-distinct sites (fractional):
Zr  0.000  0.000  0.000 [2 per cell]
Ir  0.000  0.500  0.000 [2 per cell]
Au  0.250  0.250  0.500 [4 per cell]

- Distance to the lowest polymorph of the same formula: 342 meV/atom
- Density: 16.5 g cm⁻³
- Energy of formation from the pure elements: -0.2531 eV/atom

3.
Below is YH2Os at its PBEsol-relaxed geometry, with properties calculated at the SCAN level.

Unit cell a=5.636 b=5.636 c=5.636 alpha=90.00 beta=90.00 gamma=90.00
Space group Fm-3m (No. 225)
Symmetry-distinct sites (fractional):
Y  0.000  0.000  0.000 [4 per cell]
H  0.250  0.250  0.250 [8 per cell]
Os  0.000  0.000  0.500 [4 per cell]

- Density: 10.4 g cm⁻³
- Calculated total energy: -26.29 eV per atom